Entry 1:
SrCaC2: optimized geometry, PBEsol.

Unit cell a=6.3842 b=6.3842 c=6.3842 alpha=90.00 beta=90.00 gamma=90.00
With the nearest neighbours (Å) after each atom.
Space group Fm-3m (No. 225)
Symmetry-distinct sites (fractional):
Sr (0.0000, 0.0000, 0.0000) x4  8 C 2.76
Ca (0.0000, 0.0000, 0.5000) x4  8 C 2.76
C (0.2500, 0.2500, 0.2500) x8  4 Sr 2.76, 4 Ca 2.76

Summary:
VASP energy, eV per atom: -4.6119
Formation enthalpy at 0 K, eV/atom: 1.203
DOS at the Fermi energy, states/eV/f.u.: 2.58



Entry 2:
SrCaZn2C: optimized geometry, PBEsol.

Unit cell a=5.2472 b=5.2472 c=7.0203 alpha=90.00 beta=90.00 gamma=90.00
With the nearest neighbours (Å) after each atom.
Space group P4/mmm (No. 123)
Symmetry-distinct sites (fractional):
Sr (0.0000, 0.0000, 0.0000) x1  2 Ca 3.51, 4 C 3.71
Ca (0.0000, 0.0000, 0.5000) x1  4 Zn 2.62
Zn (0.0000, 0.5000, 0.5000) x2  2 Ca 2.62
C (0.5000, 0.5000, 0.0000) x1  4 Sr 3.71

Summary:
VASP energy, eV per atom: -1.3931
Formation enthalpy at 0 K, eV/atom: 1.963
DOS at the Fermi energy, states/eV/f.u.: 4.17



Entry 3:
CaTe3C: optimized geometry, PBEsol.

Unit cell a=4.8560 b=4.8560 c=4.8560 alpha=90.00 beta=90.00 gamma=90.00
With the nearest neighbours (Å) after each atom.
Space group Pm-3m (No. 221)
Symmetry-distinct sites (fractional):
Ca (0.0000, 0.0000, 0.0000) x1  12 Te 3.43
Te (0.0000, 0.5000, 0.5000) x3  2 C 2.43
C (0.5000, 0.5000, 0.5000) x1  6 Te 2.43

Summary:
Formation energy (no corrections), eV per atom: 0.232
VASP energy, eV per atom: -4.2386
DOS at the Fermi energy, states/eV/f.u.: 2.49



Entry 4:
CaTiTe2C: optimized geometry, PBEsol.

Unit cell a=5.5991 b=5.5991 c=5.4144 alpha=90.00 beta=90.00 gamma=90.00
With the nearest neighbours (Å) after each atom.
Space group P4/mmm (No. 123)
Symmetry-distinct sites (fractional):
Ca (0.0000, 0.0000, 0.0000) x1  2 Ti 2.71, 4 Te 2.80
Ti (0.0000, 0.0000, 0.5000) x1  2 Ca 2.71
Te (0.0000, 0.5000, 0.0000) x2  2 Ca 2.80
C (0.5000, 0.5000, 0.5000) x1  8 Te 3.89, 4 Ti 3.96

Summary:
Formation energy (no corrections), eV per atom: 2.111
VASP energy, eV per atom: -3.3190
DOS at the Fermi energy, states/eV/f.u.: 6.84



Entry 5:
Ca2TiC2: optimized geometry, PBEsol.

Unit cell a=4.4308 b=4.4308 c=8.5617 alpha=90.00 beta=90.00 gamma=90.00
With the nearest neighbours (Å) after each atom.
Space group I4/mmm (No. 139)
Symmetry-distinct sites (fractional):
Ca (0.0000, 0.0000, 0.1560) x4  4 C 2.36
Ti (0.0000, 0.0000, 0.5000) x2  2 Ca 2.94, 8 C 3.08
C (0.0000, 0.5000, 0.2500) x4  4 Ca 2.36

Summary:
VASP energy, eV per atom: -5.0141
Formation enthalpy at 0 K, eV/atom: 1.361
DOS at the Fermi energy, states/eV/f.u.: 4.65



Entry 6:
Ca2ZnC: optimized geometry, PBEsol.

Unit cell a=6.6447 b=6.6447 c=6.6447 alpha=90.00 beta=90.00 gamma=90.00
With the nearest neighbours (Å) after each atom.
Space group Fm-3m (No. 225)
Symmetry-distinct sites (fractional):
Ca (0.2500, 0.2500, 0.2500) x8  4 C 2.88, 4 Zn 2.88
Zn (0.0000, 0.0000, 0.0000) x4  8 Ca 2.88
C (0.0000, 0.0000, 0.5000) x4  8 Ca 2.88

Summary:
VASP energy, eV per atom: -3.3884
Formation enthalpy at 0 K, eV/atom: 0.485
DOS at the Fermi energy, states/eV/f.u.: 0.39



Entry 7:
CaZr3C: optimized geometry, PBEsol.

Unit cell a=4.8100 b=4.8100 c=4.8100 alpha=90.00 beta=90.00 gamma=90.00
With the nearest neighbours (Å) after each atom.
Space group Pm-3m (No. 221)
Symmetry-distinct sites (fractional):
Ca (0.0000, 0.0000, 0.0000) x1  6 Zr 2.40
Zr (0.0000, 0.0000, 0.5000) x3  2 Ca 2.40
C (0.5000, 0.5000, 0.5000) x1  12 Zr 3.40

Summary:
VASP energy, eV per atom: -4.9638
Formation enthalpy at 0 K, eV/atom: 2.845
DOS at the Fermi energy, states/eV/f.u.: 8.26



Entry 8:
Cd3C: optimized geometry, PBEsol.

Unit cell a=3.2593 b=3.2593 c=7.7325 alpha=90.00 beta=90.00 gamma=120.00
With the nearest neighbours (Å) after each atom.
Space group P-6m2 (No. 187)
Symmetry-distinct sites (fractional):
Cd (0.0000, 0.0000, 0.0000) x1  12 Cd 3.05-3.26
Cd (0.3333, 0.6667, 0.3108) x2  3 C 2.38
C (0.0000, 0.0000, 0.5000) x1  6 Cd 2.38

Summary:
Offset from the most stable computed form, kJ/mol of atoms: 7.0
VASP energy, eV per atom: -2.2878
Formation enthalpy at 0 K, eV/atom: 1.021
DOS at the Fermi energy, states/eV/f.u.: 2.30



Entry 9:
CdC2: optimized geometry, PBEsol.

Unit cell a=2.5982 b=6.1799 c=12.5377 alpha=90.00 beta=90.00 gamma=90.00
With the nearest neighbours (Å) after each atom.
Space group Fmmm (No. 69)
Symmetry-distinct sites (fractional):
Cd (0.0000, 0.0000, 0.0000) x4  2 Cd 2.60
C (0.0000, 0.0000, 0.2495) x8  2 C 1.30

Summary:
Offset from the most stable computed form, kJ/mol of atoms: 0.0
VASP energy, eV per atom: -5.9658
Formation enthalpy at 0 K, eV/atom: 0.862
DOS at the Fermi energy, states/eV/f.u.: 0.59



Entry 10:
Cd3C: optimized geometry, PBEsol.

Unit cell a=3.4168 b=3.4168 c=21.6689 alpha=90.00 beta=90.00 gamma=120.00
With the nearest neighbours (Å) after each atom.
Space group R-3m (No. 166, hexagonal axes)
Symmetry-distinct sites (fractional):
Cd (0.0000, 0.0000, 0.0000) x3  12 Cd 3.05-3.42
Cd (0.0000, 0.0000, 0.2259) x6  3 C 2.35
C (0.0000, 0.0000, 0.5000) x3  6 Cd 2.35

Summary:
Offset from the most stable computed form, kJ/mol of atoms: 0.0
VASP energy, eV per atom: -2.3600
Formation enthalpy at 0 K, eV/atom: 0.949
DOS at the Fermi energy, states/eV/f.u.: 1.84



Entry 11:
CdC2: optimized geometry, PBEsol.

Unit cell a=9.0760 b=9.0760 c=2.6160 alpha=90.00 beta=90.00 gamma=120.00
With the nearest neighbours (Å) after each atom.
Space group P-62m (No. 189)
Symmetry-distinct sites (fractional):
Cd (0.0000, 0.0000, 0.0000) x1  2 Cd 2.62
Cd (0.3333, 0.6667, 0.5000) x2  2 Cd 2.62
C (0.0000, 0.3304, 0.0000) x3  2 C 1.31
C (0.0000, 0.3349, 0.5000) x3  2 C 1.31

Summary:
Offset from the most stable computed form, kJ/mol of atoms: 6.9
VASP energy, eV per atom: -5.8946
Formation enthalpy at 0 K, eV/atom: 0.934
DOS at the Fermi energy, states/eV/f.u.: 0.93



Entry 12:
CdC: optimized geometry, PBEsol.

Unit cell a=4.7924 b=3.0463 c=3.7185 alpha=90.00 beta=90.00 gamma=90.00
With the nearest neighbours (Å) after each atom.
Space group Pmma (No. 51)
Symmetry-distinct sites (fractional):
Cd (0.2500, 0.0000, 0.2200) x2  4 C 2.35-2.45
C (0.2500, 0.5000, 0.7023) x2  4 Cd 2.35-2.45

Summary:
Offset from the most stable computed form, kJ/mol of atoms: 0.0
VASP energy, eV per atom: -3.3119
Formation enthalpy at 0 K, eV/atom: 2.108
DOS at the Fermi energy, states/eV/f.u.: 0.75



Entry 13:
CdC2: optimized geometry, PBEsol.

Unit cell a=3.4247 b=4.6176 c=5.1015 alpha=90.00 beta=90.00 gamma=90.00
With the nearest neighbours (Å) after each atom.
Space group Immm (No. 71)
Symmetry-distinct sites (fractional):
Cd (0.0000, 0.0000, 0.0000) x2  8 C 2.40-2.63
C (0.0000, 0.1368, 0.5000) x4  1 C 1.26

Summary:
Offset from the most stable computed form, kJ/mol of atoms: 33.7
VASP energy, eV per atom: -5.6162
Formation enthalpy at 0 K, eV/atom: 1.212



Entry 14:
CdC: optimized geometry, PBEsol.

Unit cell a=6.1249 b=6.1249 c=6.1249 alpha=90.00 beta=90.00 gamma=90.00
With the nearest neighbours (Å) after each atom.
Space group Fd-3m (No. 227, origin choice 2)
Symmetry-distinct sites (fractional):
Cd (0.1250, 0.1250, 0.1250) x8  4 Cd 2.65, 4 C 2.65
C (0.1250, 0.1250, 0.6250) x8  4 C 2.65, 4 Cd 2.65

Summary:
Offset from the most stable computed form, kJ/mol of atoms: 38.1
VASP energy, eV per atom: -2.9171
Formation enthalpy at 0 K, eV/atom: 2.503
DOS at the Fermi energy, states/eV/f.u.: 0.24



Entry 15:
Cd3C: optimized geometry, PBEsol.

Unit cell a=6.5142 b=6.5142 c=6.5142 alpha=90.00 beta=90.00 gamma=90.00
With the nearest neighbours (Å) after each atom.
Space group Fm-3m (No. 225)
Symmetry-distinct sites (fractional):
Cd (0.0000, 0.0000, 0.0000) x4  8 Cd 2.82
Cd (0.2500, 0.2500, 0.2500) x8  4 Cd 2.82, 4 C 2.82
C (0.0000, 0.0000, 0.5000) x4  8 Cd 2.82

Summary:
Offset from the most stable computed form, kJ/mol of atoms: 26.4
VASP energy, eV per atom: -2.0867
Formation enthalpy at 0 K, eV/atom: 1.222
DOS at the Fermi energy, states/eV/f.u.: 0.20